A plane-wave DFT calculation with PBE+U was carried out for a relaxed structure of Co2BrO.

The space group is Fm-3m (No. 225) and the conventional cell measures 5.986, 5.986 and 5.986 Å, with angles of 90.00, 90.00 and 90.00 degrees. The asymmetric unit holds Co at (0.250, 0.250, 0.250), Br at (0.000, 0.000, 0.000) and O at (0.000, 0.000, 0.500).

As for the total magnetic moment: 20.031 μB per cell. The calculation puts the uncorrected energy at -3.8130 eV per atom.

***

A plane-wave DFT calculation with PBE+U was carried out for a relaxed structure of CoBrO.

The space group is P2_1/c (No. 14) and the conventional cell measures 7.028, 6.443 and 5.449 Å, with angles of 90.00, 108.39 and 90.00 degrees. The asymmetric unit holds Co at (0.005, 0.115, 0.238), Br at (0.278, 0.073, 0.663) and O at (0.085, 0.643, 0.638).

As for the total magnetic moment: 8.073 μB per cell. The calculation puts the uncorrected energy at -4.4528 eV per atom.

***

A plane-wave DFT calculation with PBE+U was carried out for a relaxed structure of CoBr2O.

The space group is Fm-3m (No. 225) and the conventional cell measures 6.494, 6.494 and 6.494 Å, with angles of 90.00, 90.00 and 90.00 degrees. The asymmetric unit holds Co at (0.000, 0.000, 0.000), Br at (0.250, 0.250, 0.250) and O at (0.000, 0.000, 0.500).

As for the total magnetic moment: 11.943 μB per cell. The calculation puts the uncorrected energy at -2.6100 eV per atom.

***

A plane-wave DFT calculation with PBE+U was carried out for a relaxed structure of CoBr2O.

The space group is I-42d (No. 122) and the conventional cell measures 6.212, 6.212 and 9.135 Å, with angles of 90.00, 90.00 and 90.00 degrees. The asymmetric unit holds Co at (0.000, 0.000, 0.000), Br at (0.238, 0.250, 0.125) and O at (0.000, 0.000, 0.500).

As for the total magnetic moment: 10.666 μB per cell. The calculation puts the uncorrected energy at -2.7878 eV per atom.